A relaxed structure of La4Pr5Pb, computed with GGA-PBE.

Structure (POSCAR):
```
La4Pr5Pb
1.0
-2.4484 -3.7344 -3.6276
-0.5083 -7.7971 8.3698
-10.2237 3.8355 2.9522
La Pr Pb
8 10 2
Direct
0.7875 0.1800 0.0000
0.7219 0.0000 0.2791
0.7219 0.0000 0.7209
0.7875 0.8200 0.0000
0.2125 0.6800 0.5000
0.2781 0.5000 0.2209
0.2781 0.5000 0.7791
0.2125 0.3200 0.5000
0.7515 0.3082 0.2969
0.7515 0.3082 0.7031
0.2244 0.0000 0.5000
0.7515 0.6918 0.2969
0.7515 0.6918 0.7031
0.2485 0.8082 0.2031
0.2485 0.8082 0.7969
0.7756 0.5000 0.0000
0.2485 0.1918 0.7969
0.2485 0.1918 0.2031
0.3173 0.0000 0.0000
0.6827 0.5000 0.5000
```

space group	No. 59
total moment	0.00	μB per cell
calculated total energy	-94.03	eV for the cell shown
energy of formation	0.299	eV per formula unit
ρ	6.5	g/cm³
offset from the most stable computed form	0.0	meV/atom

A relaxed structure of La6Pr12Pb, computed with GGA-PBE.

Structure (POSCAR):
```
La6Pr12Pb
1.0
8.8463 0.3100 -1.5725
-1.9283 8.6392 -1.5725
0.2396 0.3100 8.9818
La Pr Pb
6 12 1
Direct
0.1360 0.1352 0.4080
0.8648 0.5920 0.8640
0.5920 0.8640 0.8648
0.8640 0.8648 0.5920
0.1352 0.4080 0.1360
0.4080 0.1360 0.1352
0.5849 0.1708 0.5851
0.1708 0.5851 0.5849
0.5851 0.5849 0.1708
0.4151 0.8292 0.4149
0.8292 0.4149 0.4151
0.4149 0.4151 0.8292
0.2581 0.9996 0.7420
0.2580 0.7419 0.0004
0.0004 0.2580 0.7419
0.7419 0.0004 0.2580
0.7420 0.2581 0.9996
0.9996 0.7420 0.2581
0.0000 0.0000 0.0000
```

space group	No. 148
total moment	0.00	μB per cell
calculated total energy	-89.82	eV for the cell shown
energy of formation	0.809	eV per formula unit
ρ	6.5	g/cm³
offset from the most stable computed form	18.8	meV/atom

A relaxed structure of La3PrPb5, computed with GGA-PBE.

Structure (POSCAR):
```
La3PrPb5
1.0
6.7913 0.0000 0.0000
0.0000 8.5686 -4.9471
0.0000 0.0000 9.8942
La Pr Pb
6 2 10
Direct
0.7500 0.3799 0.0000
0.7500 0.6201 0.6201
0.7500 0.0000 0.3799
0.2500 0.6201 0.0000
0.2500 0.3799 0.3799
0.2500 0.0000 0.6201
0.0000 0.0000 0.0000
0.5000 0.0000 0.0000
0.0000 0.3333 0.6667
0.5000 0.6667 0.3333
0.0000 0.6667 0.3333
0.5000 0.3333 0.6667
0.7500 0.7100 0.0000
0.7500 0.2900 0.2900
0.7500 0.0000 0.7100
0.2500 0.2900 0.0000
0.2500 0.7100 0.7100
0.2500 0.0000 0.2900
```

space group	No. 193
total moment	0.00	μB per cell
calculated total energy	-85.68	eV for the cell shown
energy of formation	-4.734	eV per formula unit
ρ	9.2	g/cm³

A relaxed structure of LaPr3Pb2, computed with GGA-PBE.

Structure (POSCAR):
```
LaPr3Pb2
1.0
-4.7797 -1.3473 5.8654
4.5032 -6.0968 2.2692
4.2204 8.3730 0.3276
La Pr Pb
2 6 4
Direct
0.0000 0.5000 0.0000
0.0000 0.0000 0.0000
0.5000 0.2500 0.0000
0.5000 0.7500 0.0000
0.7885 0.0385 0.5770
0.2115 0.4615 0.4230
0.2115 0.9615 0.4230
0.7885 0.5385 0.5770
0.5387 0.3573 0.7146
0.8242 0.1427 0.2854
0.1758 0.8573 0.7146
0.4613 0.6427 0.2854
```

space group	No. 72
total moment	0.02	μB per cell
calculated total energy	-56.01	eV for the cell shown
energy of formation	-1.320	eV per formula unit
ρ	7.0	g/cm³
offset from the most stable computed form	226.8	meV/atom

A relaxed structure of LaPr5Pb6, computed with GGA-PBE.

Structure (POSCAR):
```
LaPr5Pb6
1.0
1.3851 5.1601 2.5606
-4.6464 -1.4337 5.4027
7.4855 0.5144 6.5741
Pr Pb La
5 6 1
Direct
0.6673 0.5000 0.6677
0.3332 0.0000 0.3341
0.0000 0.5000 0.0000
0.6668 0.0000 0.6659
0.3327 0.5000 0.3323
0.8312 0.7482 0.3349
0.8312 0.2518 0.3349
0.5000 0.2521 0.0000
0.5000 0.7479 0.0000
0.1688 0.7482 0.6651
0.1688 0.2518 0.6651
0.0000 0.0000 0.0000
```

space group	No. 10
total moment	0.00	μB per cell
calculated total energy	-57.46	eV for the cell shown
energy of formation	-6.384	eV per formula unit
ρ	9.3	g/cm³

A relaxed structure of LaPr9Pb2, computed with GGA-PBE.

Structure (POSCAR):
```
LaPr9Pb2
1.0
5.0562 0.0000 0.0000
0.0000 5.0562 0.0000
0.0000 0.0000 15.7177
La Pr Pb
1 9 2
Direct
0.0000 0.0000 0.0000
0.5000 0.5000 0.0000
0.5000 0.5000 0.3405
0.5000 0.5000 0.6595
0.5000 0.0000 0.1761
0.5000 0.0000 0.5000
0.5000 0.0000 0.8239
0.0000 0.5000 0.1761
0.0000 0.5000 0.5000
0.0000 0.5000 0.8239
0.0000 0.0000 0.3378
0.0000 0.0000 0.6622
```

space group	No. 123
total moment	0.00	μB per cell
calculated total energy	-57.87	eV for the cell shown
energy of formation	-2.511	eV per formula unit
ρ	7.5	g/cm³